Below is an optimized crystal structure of Cs3Ce3ZrTe8, with properties calculated at the GGA-PBE level.

Computed properties:
DOS(E_F) = 1.47 states/eV per atom
ρ = 4.98 g cm⁻³
SG = C2/m
Total magnetic moment = 0.203 μB per atom
Formation energy from raw total energies = -28.359 kcal/mol of atoms

Cell: 9.060 9.060 10.508 Å, 115.90 115.90 59.76°
Fractional positions:
Cs: 0.000 0.000 0.000
Cs: 0.000 0.500 0.000
Cs: 0.500 0.000 0.000
Ce: 0.000 0.000 0.500
Ce: 0.000 0.500 0.500
Ce: 0.500 0.000 0.500
Zr: 0.500 0.500 0.500
Te: 0.233 0.233 0.696
Te: 0.251 0.717 0.688
Te: 0.279 0.279 0.311
Te: 0.283 0.749 0.312
Te: 0.717 0.251 0.688
Te: 0.721 0.721 0.689
Te: 0.749 0.283 0.312
Te: 0.767 0.767 0.304